# 1
First-principles (GGA-PBE) data for a relaxed PrDy2Hg8 crystal, as listed in Alexandria. Values from VASP.

```
&SYSTEM
  ibrav = 0, nat = 11, ntyp = 3
/
ATOMIC_SPECIES
Pr 140.91 Pr.upf
Dy 162.50 Dy.upf
Hg 200.59 Hg.upf
CELL_PARAMETERS angstrom
-2.560 3.729 7.373
2.560 -3.729 7.373
2.560 3.729 -7.373
ATOMIC_POSITIONS angstrom
Pr 0.000 0.000 0.000
Dy 0.000 0.000 4.557
Dy 0.000 0.000 10.190
Hg 2.560 -1.581 5.129
Hg 2.560 0.000 2.317
Hg 2.560 2.205 0.000
Hg 0.000 2.148 2.244
Hg 2.560 1.581 5.129
Hg 0.000 1.524 7.373
Hg 0.000 3.729 5.056
Hg 0.000 5.310 2.244
```

Results
Energy of formation from the pure elements, meV/atom: -314.8
Mass density, g cm⁻³: 12.21
Total magnetic moment, μB/cell: 0.00
Space-group type: Immm (71)



# 2
First-principles (GGA-PBE) data for a relaxed Pr2Dy3Hg3 crystal, as listed in Alexandria. Values from VASP.

```
&SYSTEM
  ibrav = 0, nat = 16, ntyp = 3
/
ATOMIC_SPECIES
Pr 140.91 Pr.upf
Dy 162.50 Dy.upf
Hg 200.59 Hg.upf
CELL_PARAMETERS angstrom
3.790 0.000 0.000
0.000 5.318 0.000
0.000 0.000 22.568
ATOMIC_POSITIONS angstrom
Pr 0.000 0.000 5.187
Pr 0.000 0.000 17.382
Pr 1.895 2.659 6.098
Pr 1.895 2.659 16.471
Dy 0.000 0.000 0.000
Dy 0.000 2.659 2.646
Dy 0.000 2.659 19.922
Dy 1.895 0.000 8.638
Dy 1.895 0.000 13.931
Dy 1.895 2.659 11.284
Hg 0.000 0.000 11.284
Hg 0.000 2.659 8.748
Hg 0.000 2.659 13.820
Hg 1.895 0.000 2.536
Hg 1.895 0.000 20.032
Hg 1.895 2.659 0.000
```

Results
Energy of formation from the pure elements, meV/atom: -342.3
Mass density, g cm⁻³: 10.01
Total magnetic moment, μB/cell: 0.00
Space-group type: Immm (71)



# 3
First-principles (GGA-PBE) data for a relaxed Pr4Dy9Hg11 crystal, as listed in Alexandria. Values from VASP.

```
&SYSTEM
  ibrav = 0, nat = 24, ntyp = 3
/
ATOMIC_SPECIES
Pr 140.91 Pr.upf
Dy 162.50 Dy.upf
Hg 200.59 Hg.upf
CELL_PARAMETERS angstrom
8.021 -11.223 0.000
8.021 11.223 0.000
0.000 0.000 3.587
ATOMIC_POSITIONS angstrom
Pr 2.607 1.888 0.000
Pr 2.607 -1.888 0.000
Pr 13.434 1.888 0.000
Pr 13.434 -1.888 0.000
Dy 0.000 0.000 0.000
Dy 6.145 5.983 0.000
Dy 6.240 2.109 0.000
Dy 9.896 5.983 0.000
Dy 6.240 -2.109 0.000
Dy 9.802 2.109 0.000
Dy 6.145 -5.983 0.000
Dy 9.802 -2.109 0.000
Dy 9.896 -5.983 0.000
Hg 4.361 4.040 1.794
Hg 8.021 8.202 1.794
Hg 4.684 0.000 1.794
Hg 8.021 4.094 1.794
Hg 4.361 -4.040 1.794
Hg 8.021 0.000 1.794
Hg 11.681 4.040 1.794
Hg 8.021 -4.094 1.794
Hg 11.358 0.000 1.794
Hg 8.021 -8.202 1.794
Hg 11.681 -4.040 1.794
```

Results
Energy of formation from the pure elements, meV/atom: -370.6
Mass density, g cm⁻³: 10.88
Total magnetic moment, μB/cell: 0.00
Space-group type: Cmmm (65)



# 4
First-principles (GGA-PBE) data for a relaxed PrDy2Hg crystal, as listed in Alexandria. Values from VASP.

```
&SYSTEM
  ibrav = 0, nat = 12, ntyp = 3
/
ATOMIC_SPECIES
Pr 140.91 Pr.upf
Dy 162.50 Dy.upf
Hg 200.59 Hg.upf
CELL_PARAMETERS angstrom
3.652 0.000 0.000
-1.826 3.163 0.000
0.000 0.000 31.967
ATOMIC_POSITIONS angstrom
Pr 0.000 0.000 0.000
Pr 0.000 2.109 21.312
Pr 1.826 1.054 10.656
Dy 0.000 0.000 7.705
Dy 0.000 0.000 24.262
Dy 0.000 2.109 13.606
Dy 0.000 2.109 29.017
Dy 1.826 1.054 2.950
Dy 1.826 1.054 18.361
Hg 0.000 0.000 15.984
Hg 0.000 2.109 5.328
Hg 1.826 1.054 26.639
```

Results
Energy of formation from the pure elements, meV/atom: -173.0
Mass density, g cm⁻³: 8.99
Offset from the most stable computed form, meV per atom: 61
Total magnetic moment, μB/cell: 0.00
Space-group type: R-3m (166)



# 5
First-principles (GGA-PBE) data for a relaxed Pr2DyHg2 crystal, as listed in Alexandria. Values from VASP.

```
&SYSTEM
  ibrav = 0, nat = 10, ntyp = 3
/
ATOMIC_SPECIES
Pr 140.91 Pr.upf
Dy 162.50 Dy.upf
Hg 200.59 Hg.upf
CELL_PARAMETERS angstrom
4.109 0.000 0.000
0.000 7.358 0.000
0.000 0.000 10.139
ATOMIC_POSITIONS angstrom
Pr 0.000 0.000 2.118
Pr 0.000 0.000 8.021
Pr 2.055 3.679 2.952
Pr 2.055 3.679 7.187
Dy 0.000 3.679 0.000
Dy 2.055 0.000 5.069
Hg 0.000 2.169 5.069
Hg 0.000 5.189 5.069
Hg 2.055 1.510 0.000
Hg 2.055 5.848 0.000
```

Results
Energy of formation from the pure elements, meV/atom: -294.3
Mass density, g cm⁻³: 9.16
Offset from the most stable computed form, meV per atom: 70
Total magnetic moment, μB/cell: 0.00
Space-group type: Immm (71)



# 6
First-principles (GGA-PBE) data for a relaxed PrDyHg4 crystal, as listed in Alexandria. Values from VASP.

```
&SYSTEM
  ibrav = 0, nat = 12, ntyp = 3
/
ATOMIC_SPECIES
Pr 140.91 Pr.upf
Dy 162.50 Dy.upf
Hg 200.59 Hg.upf
CELL_PARAMETERS angstrom
10.647 0.000 0.000
0.000 3.914 0.000
-2.947 0.000 7.535
ATOMIC_POSITIONS angstrom
Pr 0.000 0.000 0.000
Pr 5.323 1.957 0.000
Dy -1.473 0.000 3.767
Dy 3.850 1.957 3.767
Hg -0.642 1.957 6.190
Hg 0.779 1.957 2.593
Hg 1.598 0.000 4.942
Hg 3.019 0.000 1.345
Hg 4.681 0.000 6.190
Hg 6.102 0.000 2.593
Hg 6.921 1.957 4.942
Hg 8.342 1.957 1.345
```

Results
Energy of formation from the pure elements, meV/atom: -354.0
Mass density, g cm⁻³: 11.69
Offset from the most stable computed form, meV per atom: 0
Total magnetic moment, μB/cell: 0.02
Space-group type: C2/m (12)



# 7
First-principles (GGA-PBE) data for a relaxed PrDy2Hg6 crystal, as listed in Alexandria. Values from VASP.

```
&SYSTEM
  ibrav = 0, nat = 9, ntyp = 3
/
ATOMIC_SPECIES
Pr 140.91 Pr.upf
Dy 162.50 Dy.upf
Hg 200.59 Hg.upf
CELL_PARAMETERS angstrom
8.656 0.000 0.000
-4.328 7.496 0.000
0.000 0.000 3.462
ATOMIC_POSITIONS angstrom
Pr 0.000 0.000 0.000
Dy 0.000 4.997 0.000
Dy 4.328 2.499 0.000
Hg -1.454 2.518 1.731
Hg -2.874 4.978 1.731
Hg 2.908 0.000 1.731
Hg 1.454 2.518 1.731
Hg 5.748 0.000 1.731
Hg 2.874 4.978 1.731
```

Results
Energy of formation from the pure elements, meV/atom: -397.9
Mass density, g cm⁻³: 12.34
Offset from the most stable computed form, meV per atom: 0
Total magnetic moment, μB/cell: 0.27
Space-group type: P6/mmm (191)



# 8
First-principles (GGA-PBE) data for a relaxed Pr2DyHg4 crystal, as listed in Alexandria. Values from VASP.

```
&SYSTEM
  ibrav = 0, nat = 7, ntyp = 3
/
ATOMIC_SPECIES
Pr 140.91 Pr.upf
Dy 162.50 Dy.upf
Hg 200.59 Hg.upf
CELL_PARAMETERS angstrom
2.592 1.497 9.048
-2.592 1.497 9.048
0.000 -2.993 9.048
ATOMIC_POSITIONS angstrom
Pr 0.000 0.000 6.621
Pr 0.000 0.000 20.523
Dy 0.000 0.000 0.000
Hg 0.000 0.000 3.437
Hg 0.000 0.000 10.032
Hg 0.000 0.000 17.113
Hg 0.000 0.000 23.707
```

Results
Energy of formation from the pure elements, meV/atom: -346.4
Mass density, g cm⁻³: 9.83
Offset from the most stable computed form, meV per atom: 0
Total magnetic moment, μB/cell: 0.00
Space-group type: R-3m (166)



# 9
First-principles (GGA-PBE) data for a relaxed PrDy2Hg crystal, as listed in Alexandria. Values from VASP.

```
&SYSTEM
  ibrav = 0, nat = 12, ntyp = 3
/
ATOMIC_SPECIES
Pr 140.91 Pr.upf
Dy 162.50 Dy.upf
Hg 200.59 Hg.upf
CELL_PARAMETERS angstrom
3.675 0.000 0.000
-1.837 3.182 0.000
0.000 0.000 31.879
ATOMIC_POSITIONS angstrom
Pr 0.000 0.000 0.000
Pr 0.000 2.122 21.253
Pr 1.837 1.061 10.626
Dy 0.000 0.000 7.663
Dy 0.000 0.000 13.591
Dy 0.000 2.122 2.965
Dy 0.000 2.122 28.916
Dy 1.837 1.061 18.290
Dy 1.837 1.061 24.218
Hg 0.000 0.000 26.573
Hg 0.000 2.122 15.947
Hg 1.837 1.061 5.320
```

Results
Energy of formation from the pure elements, meV/atom: -150.0
Mass density, g cm⁻³: 8.91
Offset from the most stable computed form, meV per atom: 84
Total magnetic moment, μB/cell: 0.00
Space-group type: R3m (160)



# 10
First-principles (GGA-PBE) data for a relaxed Pr4Dy2Hg crystal, as listed in Alexandria. Values from VASP.

```
&SYSTEM
  ibrav = 0, nat = 14, ntyp = 3
/
ATOMIC_SPECIES
Pr 140.91 Pr.upf
Dy 162.50 Dy.upf
Hg 200.59 Hg.upf
CELL_PARAMETERS angstrom
16.750 0.000 0.000
0.000 3.617 0.000
-4.012 0.000 7.701
ATOMIC_POSITIONS angstrom
Pr 0.599 0.000 1.566
Pr -1.382 1.808 6.799
Pr 5.745 0.000 0.902
Pr 3.764 1.808 6.135
Pr 8.974 1.808 1.566
Pr 6.993 0.000 6.799
Pr 14.120 1.808 0.902
Pr 12.139 0.000 6.135
Dy 1.049 0.000 4.903
Dy 3.314 1.808 2.798
Dy 9.424 1.808 4.903
Dy 11.689 0.000 2.798
Hg -2.006 0.000 3.850
Hg 6.369 1.808 3.850
```

Results
Energy of formation from the pure elements, meV/atom: -14.6
Mass density, g cm⁻³: 7.75
Total magnetic moment, μB/cell: 0.00
Space-group type: C2/m (12)



# 11
First-principles (GGA-PBE) data for a relaxed Pr3DyHg3 crystal, as listed in Alexandria. Values from VASP.

```
&SYSTEM
  ibrav = 0, nat = 14, ntyp = 3
/
ATOMIC_SPECIES
Pr 140.91 Pr.upf
Dy 162.50 Dy.upf
Hg 200.59 Hg.upf
CELL_PARAMETERS angstrom
4.597 -5.940 0.000
4.597 5.940 0.000
-1.157 0.000 7.931
ATOMIC_POSITIONS angstrom
Pr 4.597 3.904 0.000
Pr 4.018 3.008 3.966
Pr 3.081 0.000 0.888
Pr 4.955 0.000 7.043
Pr 4.018 -3.008 3.966
Pr 4.597 -3.904 0.000
Dy 2.081 0.000 4.369
Dy 5.955 0.000 3.562
Hg -0.330 0.000 2.393
Hg 1.583 2.222 6.258
Hg 1.583 -2.222 6.258
Hg 6.454 2.222 1.673
Hg 6.454 -2.222 1.673
Hg 8.366 0.000 5.538
```

Results
Energy of formation from the pure elements, meV/atom: -275.3
Mass density, g cm⁻³: 9.10
Total magnetic moment, μB/cell: 0.00
Space-group type: C2/m (12)



# 12
First-principles (GGA-PBE) data for a relaxed Pr3Dy2Hg6 crystal, as listed in Alexandria. Values from VASP.

```
&SYSTEM
  ibrav = 0, nat = 11, ntyp = 3
/
ATOMIC_SPECIES
Pr 140.91 Pr.upf
Dy 162.50 Dy.upf
Hg 200.59 Hg.upf
CELL_PARAMETERS angstrom
-2.248 2.248 16.555
2.248 -2.248 16.555
2.248 2.248 -16.555
ATOMIC_POSITIONS angstrom
Pr 0.000 0.000 0.000
Pr 0.000 0.000 6.022
Pr 0.000 0.000 27.088
Dy 0.000 0.000 12.267
Dy 0.000 0.000 20.843
Hg 2.248 0.000 2.288
Hg 0.000 0.000 9.251
Hg 2.248 0.000 14.267
Hg 0.000 2.248 2.288
Hg 0.000 0.000 23.858
Hg 0.000 2.248 14.267
```

Results
Energy of formation from the pure elements, meV/atom: -190.3
Mass density, g cm⁻³: 9.68
Total magnetic moment, μB/cell: 0.00
Space-group type: I4/mmm (139)



Q: Which formula does entry 3 have?
A: Pr4Dy9Hg11